(1)
! PBE-GGA ErTm3Sc4, optimized geometry; values from VASP
! ΔE_f = 0.02 eV per atom
! N(E_F) = 31.12 states/eV/cell
! SG = Pmn2_1
! ΔE to the lowest computed polymorph = 0.000 eV/atom
! magnetic moment = 0.0 μB per cell
&SYSTEM
  ibrav = 0, nat = 16, ntyp = 3
/
ATOMIC_SPECIES
Er 167.26 Er.upf
Tm 168.93 Tm.upf
Sc 44.96 Sc.upf
ATOMIC_POSITIONS angstrom
Er 2.4036 -1.0629 -0.4868
Er 4.7433 -4.6792 4.2282
Tm 3.9015 -4.1675 -1.0265
Tm 4.1252 -6.4389 1.4352
Tm 2.6276 -3.3315 1.9795
Tm 3.2460 -1.5683 4.7684
Tm 3.4665 -3.8394 7.2306
Tm 4.9655 -6.9477 6.6948
Sc 5.8736 -1.3906 -1.0729
Sc 0.4260 -3.9161 -0.4469
Sc 0.6568 -6.1083 2.0271
Sc 6.1036 -3.5849 1.3939
Sc 6.7136 -1.9017 4.1821
Sc 1.2665 -4.4218 4.8086
Sc 6.9443 -4.0939 6.6560
Sc 1.4953 -6.6160 7.2756
CELL_PARAMETERS angstrom
-0.5787 -5.9145 -0.4796
6.7636 -0.5697 -1.1357
1.6793 -1.0167 10.5107

***

(2)
! PBE-GGA Er2Tm5Sc5, optimized geometry; values from VASP
! ΔE_f = 0.05 eV per atom
! N(E_F) = 18.29 states/eV/cell
! SG = C2/m
! ΔE to the lowest computed polymorph = 0.000 eV/atom
! magnetic moment = 0.0 μB per cell
&SYSTEM
  ibrav = 0, nat = 12, ntyp = 3
/
ATOMIC_SPECIES
Er 167.26 Er.upf
Tm 168.93 Tm.upf
Sc 44.96 Sc.upf
ATOMIC_POSITIONS angstrom
Er -2.3595 0.4966 7.1785
Er -1.3543 -5.6668 0.8056
Tm -4.0409 0.5088 4.2538
Tm -5.1511 -0.6366 8.7931
Tm -2.7630 -1.2123 1.5893
Tm -0.9507 -3.9579 6.3948
Tm 1.4374 -4.5336 -0.8090
Sc -1.0929 -1.2150 4.5423
Sc -3.8644 -2.3422 6.0872
Sc 0.1507 -2.8279 1.8969
Sc -2.6208 -3.9552 3.4418
Sc 0.0000 0.0000 0.0000
CELL_PARAMETERS angstrom
-4.4408 -1.1618 -1.3793
4.3680 -6.1878 -0.5235
-3.6409 2.1794 9.8869

***

(3)
! PBE-GGA Er2Tm7Sc2, optimized geometry; values from VASP
! ΔE_f = 0.17 eV per atom
! N(E_F) = 16.83 states/eV/cell
! SG = P-1
! ΔE to the lowest computed polymorph = 0.056 eV/atom
! magnetic moment = 0.0 μB per cell
&SYSTEM
  ibrav = 0, nat = 11, ntyp = 3
/
ATOMIC_SPECIES
Er 167.26 Er.upf
Tm 168.93 Tm.upf
Sc 44.96 Sc.upf
ATOMIC_POSITIONS angstrom
Er 1.4027 3.0906 2.4880
Er 12.3627 15.2561 10.7884
Tm 4.6066 4.5620 4.7275
Tm 6.2473 7.4295 3.3579
Tm 9.1588 13.7847 8.5490
Tm 7.5181 10.9171 9.9185
Tm 0.0000 0.0000 0.0000
Tm 9.5002 10.3542 7.4103
Tm 4.2652 7.9925 5.8661
Sc 6.8313 8.2629 8.0437
Sc 6.9341 10.0838 5.2328
CELL_PARAMETERS angstrom
7.7823 4.4615 2.8163
2.4161 8.1512 2.2171
3.5670 5.7340 8.2430

***

(4)
! PBE-GGA Er4TmSc7, optimized geometry; values from VASP
! ΔE_f = 0.28 eV per atom
! N(E_F) = 21.74 states/eV/cell
! SG = C2/m
! magnetic moment = 0.5 μB per cell
&SYSTEM
  ibrav = 0, nat = 12, ntyp = 3
/
ATOMIC_SPECIES
Er 167.26 Er.upf
Tm 168.93 Tm.upf
Sc 44.96 Sc.upf
ATOMIC_POSITIONS angstrom
Er -1.3717 -2.1550 5.9693
Er 3.5640 -2.9694 9.2100
Er 0.9739 -3.1126 11.6761
Er 1.2184 -2.0118 3.5032
Tm 0.0000 0.0000 0.0000
Sc 3.5931 -5.2020 11.4403
Sc -1.4008 0.0776 3.7391
Sc 3.7744 -1.6597 6.0947
Sc -1.5822 -3.4647 9.0847
Sc 0.7728 -1.4453 8.6324
Sc -1.3218 -1.8322 1.5527
Sc 1.4195 -3.6790 6.5470
CELL_PARAMETERS angstrom
-2.6436 -3.6645 3.1053
7.9049 -3.7523 7.1416
-3.0691 2.2924 4.9325

***

Question: Number 1 is which compound?
Answer: ErTm3Sc4

***

Please write out number 4 again, unchanged.
! PBE-GGA Er4TmSc7, optimized geometry; values from VASP
! ΔE_f = 0.28 eV per atom
! N(E_F) = 21.74 states/eV/cell
! SG = C2/m
! magnetic moment = 0.5 μB per cell
&SYSTEM
  ibrav = 0, nat = 12, ntyp = 3
/
ATOMIC_SPECIES
Er 167.26 Er.upf
Tm 168.93 Tm.upf
Sc 44.96 Sc.upf
ATOMIC_POSITIONS angstrom
Er -1.3717 -2.1550 5.9693
Er 3.5640 -2.9694 9.2100
Er 0.9739 -3.1126 11.6761
Er 1.2184 -2.0118 3.5032
Tm 0.0000 0.0000 0.0000
Sc 3.5931 -5.2020 11.4403
Sc -1.4008 0.0776 3.7391
Sc 3.7744 -1.6597 6.0947
Sc -1.5822 -3.4647 9.0847
Sc 0.7728 -1.4453 8.6324
Sc -1.3218 -1.8322 1.5527
Sc 1.4195 -3.6790 6.5470
CELL_PARAMETERS angstrom
-2.6436 -3.6645 3.1053
7.9049 -3.7523 7.1416
-3.0691 2.2924 4.9325

***

Question: Among the records above, which one has the highest magnetic moment?
Answer: Er4TmSc7

***

Question: Which formula does entry 1 have?
Answer: ErTm3Sc4